{
  "formula": "Nd2NpRhN5",
  "functional": "PBE",
  "state": "optimized geometry",
  "lattice_angstrom": [[3.447, 0.000, 0.000], [-1.723, 6.714, 0.000], [0.000, 0.000, 10.867]],
  "species": ["Nd", "Nd", "Nd", "Nd", "Np", "Np", "Rh", "Rh", "N", "N", "N", "N", "N", "N", "N", "N", "N", "N"],
  "fractional_positions": [[0.863, 0.727, 0.805], [0.097, 0.194, 0.685], [0.137, 0.273, 0.305], [0.903, 0.806, 0.185], [0.792, 0.584, 0.515], [0.208, 0.416, 0.015], [0.527, 0.054, 0.955], [0.473, 0.946, 0.455], [0.364, 0.729, 0.990], [0.681, 0.362, 0.892], [0.489, 0.979, 0.776], [0.278, 0.556, 0.640], [0.943, 0.886, 0.565], [0.636, 0.271, 0.490], [0.319, 0.638, 0.392], [0.511, 0.021, 0.276], [0.722, 0.444, 0.140], [0.057, 0.114, 0.065]],
  "formation_energy_uncorrected_mev_per_atom": -835,
  "mass_density_g_cm3": 9.2
}


{
  "formula": "Ba3Ga4Si",
  "functional": "PBE",
  "state": "optimized geometry",
  "lattice_angstrom": [[-1.674, 4.995, 1.513], [-4.527, -0.665, -2.811], [-0.832, -5.651, 7.805]],
  "species": ["Ba", "Ba", "Ba", "Ga", "Ga", "Ga", "Ga", "Si"],
  "fractional_positions": [[0.205, 0.205, 0.410], [0.795, 0.795, 0.590], [0.000, 0.500, 0.000], [0.381, 0.622, 0.762], [0.619, 0.378, 0.238], [0.619, 0.860, 0.238], [0.381, 0.140, 0.762], [0.500, 0.000, 0.000]],
  "formation_energy_uncorrected_mev_per_atom": -286,
  "mass_density_g_cm3": 4.6
}


{
  "formula": "ScBeAs3",
  "functional": "PBE",
  "state": "optimized geometry",
  "lattice_angstrom": [[-3.066, -0.713, -3.950], [0.592, -4.996, 0.442], [-3.970, -0.195, 3.116]],
  "species": ["Sc", "Be", "As", "As", "As"],
  "fractional_positions": [[0.000, 0.000, 0.000], [0.500, 0.500, 0.500], [0.000, 0.500, 0.000], [0.000, 0.000, 0.500], [0.500, 0.000, 0.000]],
  "formation_enthalpy_0k_ev_per_atom": 0.73,
  "mass_density_g_cm3": 3.6
}


{
  "formula": "CePrAgPt",
  "functional": "PBE",
  "state": "optimized geometry",
  "lattice_angstrom": [[-3.251, 0.586, -4.001], [1.424, -1.537, -4.746], [-2.231, -4.157, -2.160]],
  "species": ["Pr", "Ag", "Ce", "Pt"],
  "fractional_positions": [[0.500, 0.500, 0.500], [0.250, 0.250, 0.250], [0.000, 0.000, 0.000], [0.750, 0.750, 0.750]],
  "formation_enthalpy_0k_ev_per_atom": -0.56,
  "mass_density_g_cm3": 9.8
}